Entry 1:
NaPuBeO6 | Alexandria | PBE-GGA | optimized geometry; final energy = -64.607 eV for the cell shown; raw formation energy = -1.720 eV/atom
1.0
4.996 0.000 0.000
-2.498 4.326 0.000
0.000 0.000 5.310
Na Pu Be O
1 1 1 6
direct
0.000 0.000 0.000
0.667 0.333 0.500
0.333 0.667 0.500
0.015 0.376 0.303
0.015 0.640 0.697
0.360 0.376 0.697
0.360 0.985 0.303
0.624 0.640 0.303
0.624 0.985 0.697



Entry 2:
Sm2VGe3Pt4 | Alexandria | PBE-GGA | optimized geometry; energy of formation from the pure elements = -0.857 eV per atom; final energy = -65.137 eV for the cell shown
1.0
4.239 0.000 0.000
0.000 4.239 0.000
0.000 0.000 10.497
Sm V Ge Pt
2 1 3 4
direct
0.000 0.500 0.249
0.500 0.000 0.751
0.000 0.000 0.500
0.000 0.500 0.863
0.500 0.000 0.137
0.500 0.500 0.500
0.000 0.000 0.000
0.000 0.500 0.630
0.500 0.000 0.370
0.500 0.500 0.000



Number 2 is which compound?
Sm2VGe3Pt4